This record from Alexandria describes a relaxed Sc3SiSe2 crystal. The functional is PBE.

It has space group C2/c (No. 15), with a = 6.746 Å, b = 11.614 Å, c = 6.687 Å, α = 90.00°, β = 109.70° and γ = 90.00°. The asymmetric unit holds Sc at (0.233, 0.078, 0.499), Sc at (0.250, 0.250, 0.000), Si at (0.000, 0.087, 0.750), Se at (0.000, 0.254, 0.250) and Se at (0.000, 0.417, 0.750).

Its theoretical density is 4.32 Mg/m³. The value obtained for the energy relative to the lowest polymorph listed for this composition is 0.0 meV/atom. As for the total DFT energy (no corrections): -0.2426 hartree per atom. The crystal system is monoclinic. For the uncorrected formation energy, the calculation gives -794 kJ/mol of formula units.